[1]
This record from Alexandria via LeMat-Bulk describes a relaxed structure of BiPbC2. The functional is PBE.

Output
ΔE_f: 1.602 eV per atom
energy above the lowest structure with this stoichiometry: 0.0000 eV/atom
VASP energy: -78.5 eV/cell
volume: 329.8 Å³/cell
size of the total moment: 0.0 μB per formula unit

CIF file:
```
data_BiPbC2
_chemical_formula_sum 'Bi4 Pb4 C8'
_cell_length_a 5.4747
_cell_length_b 5.4747
_cell_length_c 11.0022
_cell_angle_alpha 90.00
_cell_angle_beta 90.00
_cell_angle_gamma 90.00
_symmetry_space_group_name_H-M 'I -4 2 d'
_symmetry_Int_Tables_number 122
_symmetry_space_group_name_Hall 'I -4 2bw'
loop_
_atom_site_label
_atom_site_type_symbol
_atom_site_fract_x
_atom_site_fract_y
_atom_site_fract_z
Bi1 Bi 0.0000 0.0000 0.0000
Pb1 Pb 0.0000 0.0000 0.5000
C1 C 0.2476 0.2500 0.6250
```

[2]
This record from Alexandria via LeMat-Bulk describes a relaxed structure of Bi2PbC. The functional is PBE.

Output
ΔE_f: 1.484 eV per atom
energy above the lowest structure with this stoichiometry: 0.5631 eV/atom
VASP energy: -59.0 eV/cell
volume: 404.1 Å³/cell
size of the total moment: 0.0 μB per formula unit

CIF file:
```
data_Bi2PbC
_chemical_formula_sum 'Bi8 Pb4 C4'
_cell_length_a 7.3930
_cell_length_b 7.3930
_cell_length_c 7.3930
_cell_angle_alpha 90.00
_cell_angle_beta 90.00
_cell_angle_gamma 90.00
_symmetry_space_group_name_H-M 'F m -3 m'
_symmetry_Int_Tables_number 225
_symmetry_space_group_name_Hall '-F 4 2 3'
loop_
_atom_site_label
_atom_site_type_symbol
_atom_site_fract_x
_atom_site_fract_y
_atom_site_fract_z
Bi1 Bi 0.2500 0.2500 0.2500
Pb1 Pb 0.0000 0.0000 0.0000
C1 C 0.0000 0.0000 0.5000
```

[3]
This record from Alexandria via LeMat-Bulk describes a relaxed structure of BiPb2C2. The functional is PBE.

Output
ΔE_f: 1.642 eV per atom
energy above the lowest structure with this stoichiometry: 0.6551 eV/atom
VASP energy: -43.1 eV/cell
volume: 220.8 Å³/cell
size of the total moment: 0.0 μB per formula unit

CIF file:
```
data_BiPb2C2
_chemical_formula_sum 'Bi2 Pb4 C4'
_cell_length_a 7.6997
_cell_length_b 7.6997
_cell_length_c 3.7236
_cell_angle_alpha 90.00
_cell_angle_beta 90.00
_cell_angle_gamma 90.00
_symmetry_space_group_name_H-M 'P 4/m b m'
_symmetry_Int_Tables_number 127
_symmetry_space_group_name_Hall '-P 4 2ab'
loop_
_atom_site_label
_atom_site_type_symbol
_atom_site_fract_x
_atom_site_fract_y
_atom_site_fract_z
Bi1 Bi 0.0000 0.0000 0.0000
Pb1 Pb 0.1401 0.3599 0.5000
C1 C 0.2336 0.7336 0.0000
```

[4]
This record from Alexandria via LeMat-Bulk describes a relaxed structure of BiPbC2. The functional is PBE.

Output
ΔE_f: 2.259 eV per atom
energy above the lowest structure with this stoichiometry: 0.6578 eV/atom
VASP energy: -68.0 eV/cell
volume: 278.8 Å³/cell
size of the total moment: 0.0 μB per formula unit

CIF file:
```
data_BiPbC2
_chemical_formula_sum 'Bi4 Pb4 C8'
_cell_length_a 6.5331
_cell_length_b 6.5331
_cell_length_c 6.5331
_cell_angle_alpha 90.00
_cell_angle_beta 90.00
_cell_angle_gamma 90.00
_symmetry_space_group_name_H-M 'F m -3 m'
_symmetry_Int_Tables_number 225
_symmetry_space_group_name_Hall '-F 4 2 3'
loop_
_atom_site_label
_atom_site_type_symbol
_atom_site_fract_x
_atom_site_fract_y
_atom_site_fract_z
Bi1 Bi 0.0000 0.0000 0.0000
Pb1 Pb 0.0000 0.0000 0.5000
C1 C 0.2500 0.2500 0.2500
```

[5]
This record from Alexandria via LeMat-Bulk describes a relaxed structure of Pm4BiPbC. The functional is PBE.

Output
ΔE_f: -0.545 eV per atom
VASP energy: -158.5 eV/cell
volume: 825.9 Å³/cell
size of the total moment: 0.0 μB per formula unit

CIF file:
```
data_Pm4BiPbC
_chemical_formula_sum 'Pm16 Bi4 Pb4 C4'
_cell_length_a 7.0832
_cell_length_b 16.4617
_cell_length_c 7.0835
_cell_angle_alpha 90.00
_cell_angle_beta 90.00
_cell_angle_gamma 90.00
_symmetry_space_group_name_H-M 'C m c m'
_symmetry_Int_Tables_number 63
_symmetry_space_group_name_Hall '-C 2c 2'
loop_
_atom_site_label
_atom_site_type_symbol
_atom_site_fract_x
_atom_site_fract_y
_atom_site_fract_z
Pm1 Pm 0.0000 0.0921 0.2500
Pm2 Pm 0.0000 0.4059 0.2500
Pm3 Pm 0.2500 0.2500 0.0000
Bi1 Bi 0.0000 0.3927 0.7500
Pb1 Pb 0.0000 0.1080 0.7500
C1 C 0.0000 0.2498 0.2500
```

[6]
This record from Alexandria via LeMat-Bulk describes a relaxed structure of Pr4BiPbC. The functional is PBE.

Output
ΔE_f: -0.498 eV per atom
VASP energy: -157.7 eV/cell
volume: 868.3 Å³/cell
size of the total moment: 0.0 μB per formula unit

CIF file:
```
data_Pr4BiPbC
_chemical_formula_sum 'Pr16 Bi4 Pb4 C4'
_cell_length_a 7.2077
_cell_length_b 16.7123
_cell_length_c 7.2087
_cell_angle_alpha 90.00
_cell_angle_beta 90.00
_cell_angle_gamma 90.00
_symmetry_space_group_name_H-M 'C m c m'
_symmetry_Int_Tables_number 63
_symmetry_space_group_name_Hall '-C 2c 2'
loop_
_atom_site_label
_atom_site_type_symbol
_atom_site_fract_x
_atom_site_fract_y
_atom_site_fract_z
Pr1 Pr 0.0000 0.0909 0.2500
Pr2 Pr 0.0000 0.4072 0.2500
Pr3 Pr 0.2500 0.2500 0.0000
Bi1 Bi 0.0000 0.3919 0.7500
Pb1 Pb 0.0000 0.1088 0.7500
C1 C 0.0000 0.2497 0.2500
```